This record from Alexandria describes an optimized crystal structure of EuPuSn2. The functional is PBE-GGA.

abc: 7.7133 7.7133 7.7133
angles: 90.00 90.00 90.00
Space group Fm-3m (No. 225)
Unique sites:
1 Eu 0.0000 0.0000 0.0000
2 Pu 0.0000 0.0000 0.5000
3 Sn 0.2500 0.2500 0.2500

## Properties
Its formation energy is -1.60 eV/f.u. The density of states at the Fermi level is 14.225 states/eV/f.u. Its theoretical density is 9.2 Mg/m³. The total energy comes out at -8.5520 eV per atom.